[1]
Computed, not measured: an optimized crystal structure of MnWN2F at the GGA+U level of DFT.

Cell lengths 3.9548, 3.9548, 3.6827 Å; angles 90.00, 90.00, 90.00 degrees
Element x y z (fractional)
Mn: 0.0000 0.0000 0.0000
W: 0.5000 0.5000 0.5000
N: 0.0000 0.5000 0.0000
N: 0.5000 0.0000 0.0000
F: 0.0000 0.0000 0.5000

Properties
The value obtained for the magnetic moment is 6.023 Bohr magnetons per cell. Its space-group type is P4/mmm, No. 123. The total DFT energy (no corrections) comes out at -6.274 eV/atom. The density of states at the Fermi level comes out at 1.4 states/eV/f.u.


[2]
Computed, not measured: an optimized crystal structure of MnWNF2 at the GGA+U level of DFT.

Cell lengths 4.2931, 4.2931, 4.0792 Å; angles 90.00, 90.00, 90.00 degrees
Element x y z (fractional)
Mn: 0.0000 0.0000 0.0000
W: 0.5000 0.5000 0.5000
N: 0.5000 0.5000 0.0000
F: 0.0000 0.5000 0.5000
F: 0.5000 0.0000 0.5000

Properties
The value obtained for the magnetic moment is 7.655 Bohr magnetons per cell. Its space-group type is P4/mmm, No. 123. The total DFT energy (no corrections) comes out at -6.150 eV/atom. The density of states at the Fermi level comes out at 0.6 states/eV/f.u.


[3]
Computed, not measured: an optimized crystal structure of MnWNF2 at the GGA+U level of DFT.

Cell lengths 3.8297, 3.8297, 4.5604 Å; angles 90.00, 90.00, 90.00 degrees
Element x y z (fractional)
Mn: 0.0000 0.0000 0.0000
W: 0.5000 0.5000 0.5000
N: 0.0000 0.0000 0.5000
F: 0.0000 0.5000 0.0000
F: 0.5000 0.0000 0.0000

Properties
The value obtained for the magnetic moment is 8.000 Bohr magnetons per cell. Its space-group type is P4/mmm, No. 123. The total DFT energy (no corrections) comes out at -5.853 eV/atom. The density of states at the Fermi level comes out at 1.1 states/eV/f.u.


[4]
Computed, not measured: an optimized crystal structure of MnWN2F at the GGA+U level of DFT.

Cell lengths 4.0455, 4.0455, 4.0850 Å; angles 90.00, 90.00, 90.00 degrees
Element x y z (fractional)
Mn: 0.0000 0.0000 0.0000
W: 0.5000 0.5000 0.5000
N: 0.0000 0.5000 0.5000
N: 0.5000 0.0000 0.5000
F: 0.5000 0.5000 0.0000

Properties
The value obtained for the magnetic moment is 6.010 Bohr magnetons per cell. Its space-group type is P4/mmm, No. 123. The total DFT energy (no corrections) comes out at -6.846 eV/atom. The density of states at the Fermi level comes out at 1.4 states/eV/f.u.


[5]
Computed, not measured: an optimized crystal structure of YMnN2F at the GGA+U level of DFT.

Cell lengths 3.9271, 3.9271, 3.8789 Å; angles 90.00, 90.00, 90.00 degrees
Element x y z (fractional)
Y: 0.0000 0.0000 0.0000
Mn: 0.5000 0.5000 0.5000
N: 0.0000 0.5000 0.5000
N: 0.5000 0.0000 0.5000
F: 0.5000 0.5000 0.0000

Properties
The value obtained for the magnetic moment is 3.231 Bohr magnetons per cell. Its space-group type is P4/mmm, No. 123. The total DFT energy (no corrections) comes out at -7.410 eV/atom. The density of states at the Fermi level comes out at 1.4 states/eV/f.u.


[6]
Computed, not measured: an optimized crystal structure of YMnN2F at the GGA+U level of DFT.

Cell lengths 4.4497, 4.4497, 4.2576 Å; angles 90.00, 90.00, 90.00 degrees
Element x y z (fractional)
Y: 0.0000 0.0000 0.0000
Mn: 0.5000 0.5000 0.5000
N: 0.0000 0.5000 0.0000
N: 0.5000 0.0000 0.0000
F: 0.0000 0.0000 0.5000

Properties
The value obtained for the magnetic moment is 3.826 Bohr magnetons per cell. Its space-group type is P4/mmm, No. 123. The total DFT energy (no corrections) comes out at -6.741 eV/atom. The density of states at the Fermi level comes out at 3.6 states/eV/f.u.